1 | Computed, not measured: LiLu2W2Cl2O8 after structural relaxation at the PBE with a Hubbard U level of DFT.

The structure in POSCAR format:
```
LiLu2W2Cl2O8
1.0
-5.035 -1.047 -2.669
0.866 -0.819 -6.645
1.372 -7.101 -0.584
W O Cl Li Lu
2 8 2 1 2
Cartesian
-1.130 -2.684 -3.532 W
-1.340 -6.436 -6.326 W
-0.877 -4.422 -3.140 O
-0.477 -6.846 -4.689 O
-2.071 -2.631 -5.062 O
0.461 -1.870 -3.814 O
-1.943 -4.823 -6.997 O
-0.956 -7.703 -7.794 O
-3.114 -7.149 -6.000 O
-1.898 -1.725 -2.156 O
1.075 -5.519 -6.991 Cl
0.910 -1.614 -6.707 Cl
1.522 -6.873 -5.119 Li
-2.514 -2.810 -7.197 Lu
-0.030 -6.410 -2.561 Lu
```

**Crystal system**: triclinic
**Space group**: No. 1
**Magnetization**: 0.07 μB per atom

2 | Computed, not measured: LiLu2W2Cl2O8 after structural relaxation at the PBE with a Hubbard U level of DFT.

The structure in POSCAR format:
```
LiLu2W2Cl2O8
1.0
5.942 -0.181 0.397
1.501 6.693 0.043
2.904 1.710 6.256
O Cl Lu W Li
8 2 2 2 1
Cartesian
7.580 7.153 5.795 O
5.915 4.518 4.590 O
2.282 2.143 3.447 O
5.159 1.633 3.656 O
5.326 6.475 2.816 O
2.786 1.123 0.874 O
4.052 3.596 1.975 O
8.333 5.623 3.593 O
4.661 6.868 6.033 Cl
5.698 1.653 0.392 Cl
6.558 2.554 5.103 Lu
3.757 5.661 1.527 Lu
6.685 6.241 4.333 W
3.698 1.850 2.376 W
3.807 5.069 4.715 Li
```

**Crystal system**: triclinic
**Space group**: No. 1
**Magnetization**: 0.07 μB per atom

2 has the most favorable energy; the next structure is 2.9 kJ/mol of atoms above.